P:
Density functional theory data (GGA-PBE) for an optimized crystal structure of RbYCl4.

Cell: 8.2101 6.7836 9.1748 Å, 108.13 113.52 97.50°
Closest atoms and distances in Å follow each position.
Positions (direct):
Cl 0.8454 0.0659 0.5831  2 Y 2.68-2.80
Cl 0.1546 0.9341 0.4169  2 Y 2.68-2.80
Cl 0.9624 0.2699 0.1070  1 Y 2.56
Cl 0.3554 0.1629 0.8930  1 Y 2.56
Cl 0.6446 0.8371 0.1070  1 Y 2.56
Cl 0.7623 0.4828 0.4169  2 Y 2.68-2.80
Cl 0.0376 0.7301 0.8930  1 Y 2.56
Cl 0.2377 0.5172 0.5831  2 Y 2.68-2.80
Y 0.9192 0.1692 0.3385  6 Cl 2.56-2.80
Y 0.0808 0.8308 0.6615  6 Cl 2.56-2.80
Rb 0.3456 0.5956 0.1912  6 Cl 3.25-3.55
Rb 0.6544 0.4044 0.8088  6 Cl 3.25-3.55

## Properties
magnetic moment: 0.00 μB/atom

Q:
Density functional theory data (GGA-PBE) for an optimized crystal structure of RbYCl4.

Cell: 7.3476 7.1640 8.4192 Å, 91.66 64.13 90.00°
Closest atoms and distances in Å follow each position.
Positions (direct):
Y 0.4653 0.2744 0.0695  7 Cl 2.60-2.88
Y 0.5347 0.7256 0.9305  7 Cl 2.60-2.88
Cl 0.3041 0.1618 0.3917  1 Y 2.60
Cl 0.2581 0.0000 0.0000  2 Y 2.69
Cl 0.6166 0.5615 0.2015  2 Y 2.77-2.88
Cl 0.1819 0.5615 0.2015  2 Y 2.77-2.88
Cl 0.8181 0.4385 0.7985  2 Y 2.77-2.88
Cl 0.7419 0.0000 0.0000  2 Y 2.69
Cl 0.3834 0.4385 0.7985  2 Y 2.77-2.88
Cl 0.6959 0.8382 0.6083  1 Y 2.60
Rb 0.2151 0.7340 0.5697  7 Cl 3.39-3.76
Rb 0.7849 0.2660 0.4303  7 Cl 3.39-3.76

## Properties
magnetic moment: 0.00 μB/atom

Among the structures shown above, P is the most stable, with the second-best lying 69 meV/atom higher.